Record 1
A plane-wave DFT calculation with PBE was carried out for K6V3Cl14 after structural relaxation.

extended XYZ file:
```
23
Lattice="11.1793 0.0000 0.0000 -5.5896 9.6815 0.0000 0.0000 0.0000 6.5549" Properties=species:S:1:pos:R:3 pbc="T T T"
K -2.9449 5.3909 0.0000
K 2.8405 0.9507 3.4500
K 2.3934 4.4357 0.0000
K 0.5515 9.5364 0.0000
K 4.9927 6.7462 3.4500
K 8.9357 1.9846 3.4500
V 0.0000 0.0000 6.2951
V 0.0000 6.4544 2.8242
V 5.5896 3.2272 2.1373
Cl 0.0000 0.0000 2.0358
Cl -3.9816 8.3466 5.3731
Cl 0.3521 2.0601 5.3731
Cl -0.2765 4.3897 1.9518
Cl -1.6498 7.7262 1.9518
Cl 0.0000 6.4544 5.1063
Cl 4.0112 1.9406 0.7377
Cl 3.6633 3.9465 3.5062
Cl 1.9263 7.2472 1.9518
Cl 5.9298 1.1992 3.5062
Cl 5.2647 5.2374 0.7377
Cl 3.6295 8.9564 5.3731
Cl 7.4930 2.5035 0.7377
Cl 7.1758 4.5358 3.5062
```

Summary:
formation energy from raw total energies	-1586.7	meV per atom
symmetry	No. 143
raw total energy	-96.288	eV/cell
ρ	2.07	g/cm3

---

Record 2
A plane-wave DFT calculation with PBE was carried out for KV2Cl after structural relaxation.

extended XYZ file:
```
8
Lattice="-2.1088 2.1088 10.2605 2.1088 -2.1088 10.2605 2.1088 2.1088 -10.2605" Properties=species:S:1:pos:R:3 pbc="T T T"
K 0.0000 0.0000 0.0000
K 0.0000 2.1088 5.1302
V 1.0544 -0.0993 7.6953
V 2.0095 1.0544 2.5651
V 1.0544 2.2081 -2.5651
V 0.0993 1.0544 12.8256
Cl 2.1088 0.0000 5.1302
Cl 0.0000 0.0000 10.2605
```

Summary:
ΔE to the lowest computed polymorph	0.00	kcal/mol of atoms
formation energy from raw total energies	743.6	meV per atom
symmetry	No. 122
raw total energy	-36.414	eV/cell
ρ	3.21	g/cm3

---

Record 3
A plane-wave DFT calculation with PBE was carried out for KV2Cl8 after structural relaxation.

extended XYZ file:
```
11
Lattice="6.6552 -3.8204 0.0000 6.6552 3.8204 0.0000 -2.2748 0.0000 7.5781" Properties=species:S:1:pos:R:3 pbc="T T T"
K 0.0000 0.0000 0.0000
V 1.1082 0.0000 5.2027
V 9.9274 0.0000 2.3755
Cl 4.4324 2.0804 1.7214
Cl 1.3340 0.0000 3.0224
Cl 6.6033 2.0804 5.8567
Cl 3.0679 0.0000 6.1520
Cl 7.9677 0.0000 1.4261
Cl 4.4324 -2.0804 1.7214
Cl 9.7017 0.0000 4.5557
Cl 6.6033 -2.0804 5.8567
```

Summary:
ΔE to the lowest computed polymorph	0.10	kcal/mol of atoms
formation energy from raw total energies	-1310.0	meV per atom
symmetry	No. 12
raw total energy	-48.518	eV/cell
ρ	1.83	g/cm3

---

Record 4
A plane-wave DFT calculation with PBE was carried out for KVCl5 after structural relaxation.

extended XYZ file:
```
7
Lattice="-4.0244 4.7831 3.0984 4.0244 -4.7831 3.0984 4.0244 4.7831 -3.0984" Properties=species:S:1:pos:R:3 pbc="T T T"
K 0.0000 0.0000 0.0000
V 0.0000 4.7831 0.3413
Cl 4.0244 0.0000 1.2557
Cl 0.0000 2.8388 1.4025
Cl 2.3116 4.7831 0.3510
Cl 1.7127 0.0000 3.4493
Cl 0.0000 6.7273 1.4025
```

Summary:
formation energy from raw total energies	-1339.1	meV per atom
symmetry	No. 44
raw total energy	-28.823	eV/cell
ρ	1.86	g/cm3

---

Record 5
A plane-wave DFT calculation with PBE was carried out for KV3Cl8 after structural relaxation.

extended XYZ file:
```
12
Lattice="6.5150 -3.8488 0.0000 6.5150 3.8488 0.0000 -4.3762 0.0000 6.3126" Properties=species:S:1:pos:R:3 pbc="T T T"
K 0.0000 0.0000 0.0000
V 1.0694 1.9244 3.1563
V 1.0694 -1.9244 3.1563
V 6.5150 0.0000 0.0000
Cl 0.1571 0.0000 4.6385
Cl 2.0541 0.0000 1.9880
Cl 2.9705 1.6471 4.6892
Cl 5.6833 1.6471 1.6234
Cl 2.9705 -1.6471 4.6892
Cl 5.6833 -1.6471 1.6234
Cl 6.5997 0.0000 4.3246
Cl 8.4967 0.0000 1.6741
```

Summary:
formation energy from raw total energies	-1259.1	meV per atom
symmetry	No. 12
raw total energy	-58.336	eV/cell
ρ	2.49	g/cm3

---

Record 6
A plane-wave DFT calculation with PBE was carried out for K2V3Cl8 after structural relaxation.

extended XYZ file:
```
13
Lattice="7.4448 -3.7709 0.0000 7.4448 3.7709 0.0000 -1.9750 0.0000 6.2014" Properties=species:S:1:pos:R:3 pbc="T T T"
K 3.1540 0.0000 1.0567
K 9.7606 0.0000 5.1447
V 6.4573 1.9141 3.1007
V 7.4448 0.0000 0.0000
V 6.4573 -1.9141 3.1007
Cl 0.6169 0.0000 2.7820
Cl 5.8126 1.7322 0.7003
Cl 7.1019 1.7322 5.5011
Cl 4.8711 0.0000 3.7428
Cl 8.0435 0.0000 2.4586
Cl 5.8126 -1.7322 0.7003
Cl 7.1019 -1.7322 5.5011
Cl 12.2977 0.0000 3.4194
```

Summary:
formation energy from raw total energies	-1386.0	meV per atom
symmetry	No. 12
raw total energy	-62.341	eV/cell
ρ	2.45	g/cm3

---

Record 7
A plane-wave DFT calculation with PBE was carried out for K4VCl6 after structural relaxation.

extended XYZ file:
```
22
Lattice="8.5775 0.0000 0.0000 0.0000 8.5775 0.0000 0.0000 0.0000 8.9486" Properties=species:S:1:pos:R:3 pbc="T T T"
K 1.5370 2.7518 2.2371
K 1.5370 2.7518 6.7114
K 2.7518 7.0406 2.2371
K 2.7518 7.0406 6.7114
K 5.8258 1.5370 2.2371
K 5.8258 1.5370 6.7114
K 7.0406 5.8258 2.2371
K 7.0406 5.8258 6.7114
V 0.0000 0.0000 0.0000
V 4.2888 4.2888 4.4743
Cl 0.0000 0.0000 2.4914
Cl 0.0000 0.0000 6.4572
Cl 0.6922 6.1254 0.0000
Cl 1.8367 4.9810 4.4743
Cl 2.4521 0.6922 0.0000
Cl 3.5966 1.8367 4.4743
Cl 4.2888 4.2888 1.9829
Cl 4.2888 4.2888 6.9657
Cl 4.9810 6.7409 4.4743
Cl 6.1254 7.8853 0.0000
Cl 6.7409 3.5966 4.4743
Cl 7.8853 2.4521 0.0000
```

Summary:
formation energy from raw total energies	-1721.9	meV per atom
symmetry	No. 128
raw total energy	-87.058	eV/cell
ρ	2.12	g/cm3

---

Record 8
A plane-wave DFT calculation with PBE was carried out for K2VCl4 after structural relaxation.

extended XYZ file:
```
7
Lattice="-2.4814 2.4814 7.8436 2.4814 -2.4814 7.8436 2.4814 2.4814 -7.8436" Properties=species:S:1:pos:R:3 pbc="T T T"
K 0.0000 0.0000 2.2193
K 0.0000 0.0000 13.4679
V 0.0000 0.0000 7.8436
Cl 2.4814 0.0000 0.0000
Cl 0.0000 0.0000 5.3497
Cl 0.0000 2.4814 0.0000
Cl 0.0000 0.0000 10.3375
```

Summary:
formation energy from raw total energies	-1588.1	meV per atom
symmetry	No. 139
raw total energy	-29.817	eV/cell
ρ	2.33	g/cm3

---

Record 9
A plane-wave DFT calculation with PBE was carried out for K2VCl5 after structural relaxation.

extended XYZ file:
```
32
Lattice="9.0036 0.0000 0.0000 0.0000 6.8930 0.0000 0.0000 0.0000 14.1289" Properties=species:S:1:pos:R:3 pbc="T T T"
K 0.4051 1.7232 2.8341
K 1.5147 5.1697 5.8585
K 2.9871 1.7232 12.9230
K 4.0967 5.1697 9.8986
K 4.9069 1.7232 4.2304
K 6.0165 5.1697 1.2059
K 7.4889 1.7232 8.2704
K 8.5985 5.1697 11.2948
V 1.6149 5.1697 0.8018
V 2.8869 1.7232 7.8663
V 6.1167 5.1697 6.2627
V 7.3887 1.7232 13.3272
Cl 0.0000 0.0000 0.0000
Cl 0.0000 3.4465 0.0000
Cl 0.4285 5.1697 2.8424
Cl 1.4488 0.0403 8.5661
Cl 1.4488 3.4062 8.5661
Cl 1.9871 1.7232 5.6141
Cl 2.5147 5.1697 12.6786
Cl 3.0529 3.4868 1.5016
Cl 3.0529 6.8527 1.5016
Cl 4.0733 1.7232 9.9069
Cl 4.5018 0.0000 7.0645
Cl 4.5018 3.4465 7.0645
Cl 4.9303 5.1697 4.2220
Cl 5.9506 0.0403 12.6274
Cl 5.9506 3.4062 12.6274
Cl 6.4889 1.7232 1.4503
Cl 7.0165 5.1697 8.5148
Cl 7.5547 3.4868 5.5629
Cl 7.5547 6.8527 5.5629
Cl 8.5751 1.7232 11.2865
```

Summary:
ΔE to the lowest computed polymorph	0.00	kcal/mol of atoms
formation energy from raw total energies	-1592.9	meV per atom
symmetry	No. 62
raw total energy	-133.159	eV/cell
ρ	2.32	g/cm3

---

Record 10
A plane-wave DFT calculation with PBE was carried out for KV2Cl after structural relaxation.

extended XYZ file:
```
4
Lattice="0.0000 3.7178 3.7178 3.7178 0.0000 3.7178 3.7178 3.7178 0.0000" Properties=species:S:1:pos:R:3 pbc="T T T"
K 0.0000 0.0000 0.0000
V 1.8589 1.8589 1.8589
V 5.5767 5.5767 5.5767
Cl 3.7178 3.7178 3.7178
```

Summary:
ΔE to the lowest computed polymorph	12.53	kcal/mol of atoms
formation energy from raw total energies	1286.7	meV per atom
symmetry	No. 225
raw total energy	-16.034	eV/cell
ρ	2.85	g/cm3

---

Record 11
A plane-wave DFT calculation with PBE was carried out for KYVCl6 after structural relaxation.

extended XYZ file:
```
18
Lattice="6.6509 0.0000 0.0000 -3.3255 5.7598 0.0000 0.0000 0.0000 14.1773" Properties=species:S:1:pos:R:3 pbc="T T T"
K 0.0000 0.0000 0.0000
K 0.0000 0.0000 7.0886
Y 0.0000 3.8399 3.5443
Y 3.3255 1.9199 10.6330
V 0.0000 3.8399 10.6330
V 3.3255 1.9199 3.5443
Cl -1.1210 2.1538 9.1640
Cl -2.0207 3.7121 12.1019
Cl 1.1210 2.1538 12.1019
Cl -0.8997 5.6538 9.1640
Cl 2.4258 0.1061 2.0754
Cl 1.3047 2.0478 5.0132
Cl 2.0207 3.7121 9.1640
Cl 0.8997 5.6538 12.1019
Cl 4.2251 0.1061 5.0132
Cl 2.2044 3.6060 2.0754
Cl 5.3462 2.0478 2.0754
Cl 4.4465 3.6060 5.0132
```

Summary:
formation energy from raw total energies	-1854.4	meV per atom
symmetry	No. 163
raw total energy	-88.899	eV/cell
ρ	2.40	g/cm3

---

Record 12
A plane-wave DFT calculation with PBE was carried out for KVZnCl6 after structural relaxation.

extended XYZ file:
```
18
Lattice="6.3841 0.0000 0.0000 -3.1921 5.5288 0.0000 0.0000 0.0000 13.9778" Properties=species:S:1:pos:R:3 pbc="T T T"
K 0.0000 0.0000 0.0000
K 0.0000 0.0000 6.9889
V 0.0000 3.6859 3.4945
V 3.1921 1.8429 10.4834
Zn 0.0000 3.6859 10.4834
Zn 3.1921 1.8429 3.4945
Cl -1.1381 2.0933 2.1141
Cl -1.9483 3.4966 4.8748
Cl 1.1381 2.0933 4.8748
Cl -0.8102 5.4678 2.1141
Cl 2.3819 0.0610 9.1030
Cl 1.2438 2.0323 11.8637
Cl 1.9483 3.4966 2.1141
Cl 0.8102 5.4678 4.8748
Cl 4.0023 0.0610 11.8637
Cl 2.0540 3.4356 9.1030
Cl 5.1404 2.0323 9.1030
Cl 4.3302 3.4356 11.8637
```

Summary:
formation energy from raw total energies	-1350.1	meV per atom
symmetry	No. 163
raw total energy	-69.442	eV/cell
ρ	2.48	g/cm3

---

Record 13
A plane-wave DFT calculation with PBE was carried out for K2VZnCl6 after structural relaxation.

extended XYZ file:
```
10
Lattice="-3.5130 3.5130 4.9721 3.5130 -3.5130 4.9721 3.5130 3.5130 -4.9721" Properties=species:S:1:pos:R:3 pbc="T T T"
K 3.5130 0.0000 2.4860
K 0.0000 3.5130 2.4860
V 0.0000 0.0000 0.0000
Zn 0.0000 0.0000 4.9721
Cl 5.2596 1.7581 0.0000
Cl 1.7581 1.7665 0.0000
Cl 0.0000 0.0000 2.4922
Cl 0.0000 0.0000 7.4519
Cl 1.7550 1.7465 4.9721
Cl -1.7465 1.7550 4.9721
```

Summary:
formation energy from raw total energies	-1403.9	meV per atom
symmetry	No. 87
raw total energy	-37.706	eV/cell
ρ	2.76	g/cm3

---

Record 14
A plane-wave DFT calculation with PBE was carried out for KV2ZnCl8 after structural relaxation.

extended XYZ file:
```
12
Lattice="6.0932 0.0000 0.0000 0.0000 7.6645 0.0000 -0.7670 0.0000 6.2676" Properties=species:S:1:pos:R:3 pbc="T T T"
K 0.0000 0.0000 0.0000
V 2.6631 1.9926 3.1338
V 2.6631 5.6720 3.1338
Zn 0.0000 3.8323 0.0000
Cl 1.4682 2.1926 1.0040
Cl 1.4682 5.4719 1.0040
Cl 1.2330 3.8323 3.9506
Cl 1.3542 0.0000 3.9003
Cl 3.9721 0.0000 2.3673
Cl 4.0933 3.8323 2.3171
Cl 3.8580 2.1926 5.2637
Cl 3.8580 5.4719 5.2637
```

Summary:
formation energy from raw total energies	-1197.3	meV per atom
symmetry	No. 10
raw total energy	-49.749	eV/cell
ρ	2.78	g/cm3

---

Record 15
A plane-wave DFT calculation with PBE was carried out for K2WCl after structural relaxation.

extended XYZ file:
```
8
Lattice="-6.0841 6.0841 2.2838 6.0841 -6.0841 2.2838 6.0841 6.0841 -2.2838" Properties=species:S:1:pos:R:3 pbc="T T T"
K 0.9705 3.0421 0.5710
K -3.0421 5.1136 1.7129
K -0.9705 9.1262 0.5710
K 3.0421 7.0546 1.7129
W 6.0841 0.0000 1.1419
W 0.0000 0.0000 2.2838
Cl 0.0000 0.0000 0.0000
Cl 0.0000 6.0841 1.1419
```

Summary:
ΔE to the lowest computed polymorph	9.89	kcal/mol of atoms
formation energy from raw total energies	810.4	meV per atom
symmetry	No. 122
raw total energy	-27.507	eV/cell
ρ	2.92	g/cm3

---

Record 16
A plane-wave DFT calculation with PBE was carried out for KW2Cl after structural relaxation.

extended XYZ file:
```
4
Lattice="3.2125 0.0000 0.0000 0.0000 1.6894 8.3343 0.0000 -1.6894 8.3343" Properties=species:S:1:pos:R:3 pbc="T T T"
K 0.0000 0.0000 0.0000
W 0.0000 0.0000 12.5872
W 1.6063 0.0000 5.3976
Cl 1.6063 0.0000 10.3669
```

Summary:
ΔE to the lowest computed polymorph	0.00	kcal/mol of atoms
formation energy from raw total energies	237.2	meV per atom
symmetry	No. 38
raw total energy	-27.902	eV/cell
ρ	8.12	g/cm3

---

Record 17
A plane-wave DFT calculation with PBE was carried out for KW2Cl after structural relaxation.

extended XYZ file:
```
4
Lattice="2.9407 -1.6304 0.0000 2.9407 1.6304 0.0000 -2.6926 0.0000 9.4309" Properties=species:S:1:pos:R:3 pbc="T T T"
K 0.0000 0.0000 0.0000
W 2.0836 0.0000 4.8851
W 3.9978 0.0000 3.2741
Cl -0.7747 0.0000 7.1073
```

Summary:
ΔE to the lowest computed polymorph	1.70	kcal/mol of atoms
formation energy from raw total energies	310.7	meV per atom
symmetry	No. 8
raw total energy	-27.608	eV/cell
ρ	8.12	g/cm3

---

Record 18
A plane-wave DFT calculation with PBE was carried out for K2WCl after structural relaxation.

extended XYZ file:
```
4
Lattice="3.8661 -1.8581 0.0000 3.8661 1.8581 0.0000 -1.6399 0.0000 9.5890" Properties=species:S:1:pos:R:3 pbc="T T T"
K 1.4628 0.0000 1.9986
K 4.6296 0.0000 7.5904
W -0.8200 0.0000 4.7945
Cl 3.8661 0.0000 0.0000
```

Summary:
ΔE to the lowest computed polymorph	5.44	kcal/mol of atoms
formation energy from raw total energies	617.8	meV per atom
symmetry	No. 12
raw total energy	-14.524	eV/cell
ρ	3.59	g/cm3

---

Record 19
A plane-wave DFT calculation with PBE was carried out for K2WCl6 after structural relaxation.

extended XYZ file:
```
9
Lattice="0.0000 5.0202 5.0202 5.0202 0.0000 5.0202 5.0202 5.0202 0.0000" Properties=species:S:1:pos:R:3 pbc="T T T"
K 2.5101 2.5101 2.5101
K 7.5303 7.5303 7.5303
W 0.0000 0.0000 0.0000
Cl 5.0202 5.0202 2.3935
Cl 5.0202 2.3935 5.0202
Cl 7.6469 5.0202 5.0202
Cl 2.3935 5.0202 5.0202
Cl 5.0202 7.6469 5.0202
Cl 5.0202 5.0202 7.6469
```

Summary:
ΔE to the lowest computed polymorph	0.00	kcal/mol of atoms
formation energy from raw total energies	-1353.4	meV per atom
symmetry	No. 225
raw total energy	-38.409	eV/cell
ρ	3.12	g/cm3

---

Record 20
A plane-wave DFT calculation with PBE was carried out for KWCl6 after structural relaxation.

extended XYZ file:
```
8
Lattice="3.8989 -5.2511 0.0000 3.8989 5.2511 0.0000 -1.8225 0.0000 5.9849" Properties=species:S:1:pos:R:3 pbc="T T T"
K 0.0000 0.0000 0.0000
W 2.9877 0.0000 2.9924
Cl 2.5364 1.6594 1.3941
Cl 0.7291 0.0000 3.6171
Cl 3.4389 1.6594 4.5908
Cl 2.5364 -1.6594 1.3941
Cl 5.2462 0.0000 2.3678
Cl 3.4389 -1.6594 4.5908
```

Summary:
ΔE to the lowest computed polymorph	0.40	kcal/mol of atoms
formation energy from raw total energies	-1131.7	meV per atom
symmetry	No. 12
raw total energy	-34.184	eV/cell
ρ	2.95	g/cm3

---

Record 21
A plane-wave DFT calculation with PBE was carried out for KW2Cl after structural relaxation.

extended XYZ file:
```
4
Lattice="-1.8638 1.8638 8.2601 1.8638 -1.8638 8.2601 1.8638 1.8638 -8.2601" Properties=species:S:1:pos:R:3 pbc="T T T"
K 0.0000 0.0000 0.0000
W 1.8638 0.0000 4.1301
W 0.0000 1.8638 4.1301
Cl 0.0000 0.0000 8.2601
```

Summary:
ΔE to the lowest computed polymorph	17.97	kcal/mol of atoms
formation energy from raw total energies	1016.5	meV per atom
symmetry	No. 139
raw total energy	-24.785	eV/cell
ρ	6.40	g/cm3